Below is a geometry-optimized Sc2SnSbOs structure, with properties calculated at the PBE level.

Results
VASP energy (eV/atom): -5.154
Symmetry: No. 123
Magnetization (μB per formula unit): 1.5

Cell: 5.2161 5.4336 5.2161 Å, 90.00 90.00 90.00°
Last column: nearest neighbours and their distance in Å.
Fractional positions:
Sn 0.0000 0.5000 0.0000  2 Sb 2.72
Sc 0.5000 0.0000 0.0000  2 Sb 2.61
Sc 0.0000 0.0000 0.5000  2 Sb 2.61
Os 0.5000 0.5000 0.5000  4 Sn 3.69, 8 Sc 3.77
Sb 0.0000 0.0000 0.0000  4 Sc 2.61, 2 Sn 2.72

***

Below is a geometry-optimized ReRu2Pt structure, with properties calculated at the PBE level.

Results
Distance to the lowest polymorph of the same formula (meV per atom): 0
VASP energy (eV/atom): -9.281
Symmetry: No. 47
Magnetization (μB per formula unit): 0.0

Cell: 2.7279 3.8807 5.5010 Å, 90.00 90.00 90.00°
Last column: nearest neighbours and their distance in Å.
Fractional positions:
Pt 0.5000 0.5000 0.2500  2 Pt 2.73, 2 Re 2.75, 8 Ru 2.77
Ru 0.0000 0.0000 0.5097  4 Ru 2.64-2.86, 4 Re 2.72, 4 Pt 2.77
Ru 0.0000 0.0000 0.9904  4 Ru 2.64-2.86, 4 Re 2.72, 4 Pt 2.77
Re 0.5000 0.5000 0.7500  8 Ru 2.72, 2 Re 2.73, 2 Pt 2.75

***

Below is a geometry-optimized ThMgHg structure, with properties calculated at the PBE level.

Results
VASP energy (eV/atom): -3.179
Symmetry: No. 216
Magnetization (μB per formula unit): 0.0

Cell: 4.9942 4.9942 4.9942 Å, 60.00 60.00 60.00°
Last column: nearest neighbours and their distance in Å.
Fractional positions:
Hg 0.2500 0.2500 0.2500  4 Th 3.06, 4 Mg 3.06
Mg 0.0000 0.0000 0.0000  4 Hg 3.06
Th 0.5000 0.5000 0.5000  4 Hg 3.06

***

Below is a geometry-optimized CrInPd6 structure, with properties calculated at the PBE level.

Results
Distance to the lowest polymorph of the same formula (meV per atom): 136
VASP energy (eV/atom): -5.560
Symmetry: No. 2
Magnetization (μB per formula unit): 3.5

Cell: 6.9603 7.4572 5.1130 Å, 42.90 47.04 57.49°
Last column: nearest neighbours and their distance in Å.
Fractional positions:
Pd 0.0554 0.5393 0.1537  6 Pd 2.63-2.90, 1 Cr 2.68, 1 In 2.76
Pd 0.2514 0.0548 0.2342  6 Pd 2.63-2.90, 1 Cr 2.68, 1 In 2.76
Pd 0.7486 0.9452 0.7658  6 Pd 2.63-2.90, 1 Cr 2.68, 1 In 2.76
Pd 0.5413 0.7483 0.6529  6 Pd 2.63-2.90, 1 Cr 2.67, 1 In 2.76
Pd 0.4587 0.2517 0.3471  6 Pd 2.63-2.90, 1 Cr 2.67, 1 In 2.76
Pd 0.9446 0.4607 0.8463  6 Pd 2.63-2.90, 1 Cr 2.68, 1 In 2.76
Cr 0.5000 0.5000 0.5000  6 Pd 2.67-2.68
In 0.0000 0.0000 0.0000  12 Pd 2.76-3.01

***

Below is a geometry-optimized LaZrNi structure, with properties calculated at the PBE level.

Results
Distance to the lowest polymorph of the same formula (meV per atom): 2
VASP energy (eV/atom): -6.539
Symmetry: No. 46
Magnetization (μB per formula unit): 0.0

Cell: 7.4112 8.8788 8.8788 Å, 53.05 65.33 65.33°
Last column: nearest neighbours and their distance in Å.
Fractional positions:
La 0.6896 0.0441 0.5441  4 Ni 2.93-3.14, 2 Zr 3.28
La 0.8110 0.2612 0.7612  5 Ni 2.94-3.11, 2 Zr 3.28
La 0.8333 0.7388 0.2388  5 Ni 2.94-3.11, 2 Zr 3.28
La 0.2761 0.4621 0.9621  5 Ni 3.01-3.22
La 0.7003 0.5379 0.0379  5 Ni 3.01-3.22
La 0.2778 0.9559 0.4559  4 Ni 2.93-3.14, 2 Zr 3.28
Ni 0.9282 0.8485 0.8336  1 Zr 2.78, 4 La 2.93-3.09
Ni 0.6103 0.6664 0.6515  1 Zr 2.78, 4 La 2.93-3.09
Ni 0.9282 0.3336 0.3485  1 Zr 2.78, 4 La 2.93-3.09
Ni 0.6103 0.1515 0.1664  1 Zr 2.78, 4 La 2.93-3.09
Ni 0.2169 0.2736 0.7736  6 Zr 2.64-2.76
Ni 0.2641 0.7264 0.2264  6 Zr 2.64-2.76
Zr 0.0189 0.6404 0.5899  3 Ni 2.65-2.78
Zr 0.0189 0.0899 0.1404  3 Ni 2.65-2.78
Zr 0.4709 0.0000 0.0000  2 Ni 2.64
Zr 0.4709 0.5000 0.5000  2 Ni 2.64
Zr 0.2492 0.3596 0.4101  3 Ni 2.65-2.78
Zr 0.2492 0.9101 0.8596  3 Ni 2.65-2.78

***

Below is a geometry-optimized Ba3Mg3Tl8 structure, with properties calculated at the PBE level.

Results
VASP energy (eV/atom): -2.363
Symmetry: No. 71
Magnetization (μB per formula unit): 0.0

Cell: 5.2103 9.7422 9.7422 Å, 70.88 74.49 74.49°
Last column: nearest neighbours and their distance in Å.
Fractional positions:
Tl 0.6344 0.6581 0.0730  3 Mg 3.09-3.31, 3 Tl 3.14-3.25
Tl 0.8450 0.7948 0.5152  1 Mg 3.10, 4 Tl 3.14-3.25
Tl 0.8450 0.5152 0.7948  1 Mg 3.10, 4 Tl 3.14-3.25
Tl 0.3656 0.3419 0.9270  3 Mg 3.09-3.31, 3 Tl 3.14-3.25
Tl 0.1550 0.4848 0.2052  1 Mg 3.10, 4 Tl 3.14-3.25
Tl 0.1550 0.2052 0.4848  1 Mg 3.10, 4 Tl 3.14-3.25
Tl 0.3656 0.9270 0.3419  3 Mg 3.09-3.31, 3 Tl 3.14-3.25
Tl 0.6344 0.0730 0.6581  3 Mg 3.09-3.31, 3 Tl 3.14-3.25
Ba 0.5000 0.5000 0.5000  12 Tl 3.83-3.87
Ba 0.7919 0.2082 0.2082  10 Tl 3.67-4.06, 4 Mg 3.71-4.07
Ba 0.2082 0.7919 0.7919  10 Tl 3.67-4.06, 4 Mg 3.71-4.07
Mg 0.0000 0.1782 0.8218  6 Tl 3.10-3.31, 2 Mg 3.29
Mg 0.0000 0.8218 0.1782  6 Tl 3.10-3.31, 2 Mg 3.29
Mg 0.5000 0.0000 0.0000  4 Tl 3.09, 4 Mg 3.29

***

Below is a geometry-optimized Rb2Zn2P structure, with properties calculated at the PBE level.

Results
Distance to the lowest polymorph of the same formula (meV per atom): 63
VASP energy (eV/atom): -1.806
Symmetry: No. 139
Magnetization (μB per formula unit): 0.0

Cell: 3.6771 3.6771 11.7436 Å, 80.99 80.99 90.00°
Last column: nearest neighbours and their distance in Å.
Fractional positions:
P 0.0000 0.0000 0.0000  8 Rb 3.40, 4 P 3.68
Zn 0.2500 0.7500 0.5000  4 Zn 2.60
Zn 0.7500 0.2500 0.5000  4 Zn 2.60
Rb 0.4043 0.4043 0.1913  4 P 3.40, 4 Rb 3.68
Rb 0.5957 0.5957 0.8087  4 P 3.40, 4 Rb 3.68

***

Below is a geometry-optimized TaOs2Ru structure, with properties calculated at the PBE level.

Results
Distance to the lowest polymorph of the same formula (meV per atom): 281
VASP energy (eV/atom): -10.777
Symmetry: No. 166
Magnetization (μB per formula unit): 0.0

Cell: 9.3630 9.3630 9.3630 Å, 16.93 16.93 16.93°
Last column: nearest neighbours and their distance in Å.
Fractional positions:
Ru 0.2500 0.2500 0.2500  6 Os 2.70, 6 Ru 2.76
Os 0.9957 0.9957 0.9957  3 Ru 2.70, 6 Os 2.76, 3 Ta 2.90
Os 0.5043 0.5043 0.5043  3 Ru 2.70, 6 Os 2.76, 3 Ta 2.90
Ta 0.7500 0.7500 0.7500  6 Ta 2.76, 6 Os 2.90

***

Below is a geometry-optimized MnCr2Tc structure, with properties calculated at the PBE level.

Results
Distance to the lowest polymorph of the same formula (meV per atom): 162
VASP energy (eV/atom): -9.481
Symmetry: No. 119
Magnetization (μB per formula unit): 1.0

Cell: 4.6367 4.6367 4.6367 Å, 134.39 134.39 66.47°
Last column: nearest neighbours and their distance in Å.
Fractional positions:
Tc 0.7500 0.2500 0.5000  8 Cr 2.54-2.64, 4 Mn 2.64
Cr 0.2500 0.7500 0.5000  4 Tc 2.54, 4 Cr 2.64, 4 Mn 2.64
Cr 0.0000 0.0000 0.0000  4 Mn 2.54, 4 Cr 2.64, 4 Tc 2.64
Mn 0.5000 0.5000 0.0000  8 Cr 2.54-2.64, 4 Tc 2.64

***

Below is a geometry-optimized RbNa2CaZn structure, with properties calculated at the PBE level.

Results
VASP energy (eV/atom): -1.269
Symmetry: No. 123
Magnetization (μB per formula unit): 0.0

Cell: 6.0464 6.0464 5.9219 Å, 90.00 90.00 90.00°
Last column: nearest neighbours and their distance in Å.
Fractional positions:
Na 0.5000 0.0000 0.0000  2 Zn 3.02
Na 0.0000 0.5000 0.0000  2 Zn 3.02
Zn 0.0000 0.0000 0.0000  2 Ca 2.96, 4 Na 3.02
Ca 0.0000 0.0000 0.5000  2 Zn 2.96
Rb 0.5000 0.5000 0.5000  8 Na 4.23, 4 Ca 4.28

***

Below is a geometry-optimized LiNi2Sb2 structure, with properties calculated at the PBE level.

Results
Distance to the lowest polymorph of the same formula (meV per atom): 12
VASP energy (eV/atom): -4.509
Symmetry: No. 127
Magnetization (μB per formula unit): 0.0

Cell: 7.2956 7.2956 3.2425 Å, 90.00 90.00 90.00°
Last column: nearest neighbours and their distance in Å.
Fractional positions:
Sb 0.1710 0.6710 0.5000  6 Ni 2.67-2.71
Sb 0.3290 0.1710 0.5000  6 Ni 2.67-2.71
Sb 0.6710 0.8290 0.5000  6 Ni 2.67-2.71
Sb 0.8290 0.3290 0.5000  6 Ni 2.67-2.71
Ni 0.1233 0.3767 0.0000  1 Ni 2.54, 6 Sb 2.67-2.71
Ni 0.6233 0.1233 0.0000  1 Ni 2.54, 6 Sb 2.67-2.71
Ni 0.3767 0.8767 0.0000  1 Ni 2.54, 6 Sb 2.67-2.71
Ni 0.8767 0.6233 0.0000  1 Ni 2.54, 6 Sb 2.67-2.71
Li 0.0000 0.0000 0.0000  4 Ni 2.89, 8 Sb 3.15
Li 0.5000 0.5000 0.0000  4 Ni 2.89, 8 Sb 3.15

***

Below is a geometry-optimized KSmS structure, with properties calculated at the PBE level.

Results
VASP energy (eV/atom): -4.296
Symmetry: No. 12
Magnetization (μB per formula unit): 0.0

Cell: 7.8574 7.8574 9.5917 Å, 133.13 133.13 28.92°
Last column: nearest neighbours and their distance in Å.
Fractional positions:
S 0.3373 0.3373 0.9448  3 Sm 2.75-2.79
S 0.6627 0.6627 0.0552  3 Sm 2.75-2.79
K 0.9198 0.9198 0.7495  4 S 3.29-3.50, 1 K 3.53
K 0.0802 0.0802 0.2505  4 S 3.29-3.50, 1 K 3.53
Sm 0.6593 0.6593 0.7605  3 S 2.75-2.79
Sm 0.3407 0.3407 0.2395  3 S 2.75-2.79